Density functional theory data (PBE with a Hubbard U) for K2RbV2O6 after structural relaxation.

Space group: No. 12
Uncorrected energy (eV/cell): -66.60

Cell and atoms, written as POSCAR:
```
K2RbV2O6
1.0
5.442 -3.314 0.000
5.442 3.314 0.000
-3.501 0.000 6.364
K Rb V O
2 1 2 6
direct
0.202 0.202 0.157
0.798 0.798 0.843
0.000 0.000 0.500
0.464 0.464 0.787
0.536 0.536 0.213
0.224 0.654 0.170
0.297 0.297 0.588
0.346 0.776 0.830
0.654 0.224 0.170
0.703 0.703 0.412
0.776 0.346 0.830
```